VASP calculation (PBE) on a relaxed structure of AlIr2.

The structure in CIF format:
```
data_AlIr2
_cell_length_a 6.9137
_cell_length_b 6.9137
_cell_length_c 4.4865
_cell_angle_alpha 90.00
_cell_angle_beta 90.00
_cell_angle_gamma 156.48
_space_group_name_H-M_alt 'P 1'
_space_group_IT_number 1
loop_
_space_group_symop_operation_xyz
'x,y,z'
loop_
_atom_site_label
_atom_site_type_symbol
_atom_site_fract_x
_atom_site_fract_y
_atom_site_fract_z
Ir1 Ir 0.4415 0.5585 0.7500
Ir2 Ir 0.1215 0.8785 0.7500
Ir3 Ir 0.8785 0.1215 0.2500
Ir4 Ir 0.5585 0.4415 0.2500
Al1 Al 0.2191 0.7809 0.2500
Al2 Al 0.7809 0.2191 0.7500
```

Results
Formation enthalpy at 0 K: -0.46 eV per atom
Volume: 42.79 Å³/f.u.
Magnetic moment: 0.000 μB per atom